Record 1
BaZn2Cd9: optimized geometry, PBE.

The structure belongs to space group I4_1/amd (No. 141, origin choice 2); the cell edges are 11.928, 11.928 and 7.751 Å and the angles 90.00°, 90.00° and 90.00°. The asymmetric unit holds Ba at (0.000, 0.250, 0.375), Zn at (0.000, 0.000, 0.000), Cd at (0.000, 0.250, 0.875) and Cd at (0.122, 0.049, 0.681).

The value obtained for the density of states at the Fermi level is 12.9 states/eV per cell. The energy of formation comes out at -0.154 eV per atom. For the electronic total energy, the calculation gives -1.213 eV per atom.


Record 2
ScFe2RhC: optimized geometry, PBE.

The structure belongs to space group P4/mmm (No. 123); the cell edges are 3.848, 3.848 and 4.135 Å and the angles 90.00°, 90.00° and 90.00°. The asymmetric unit holds Sc at (0.000, 0.000, 0.000), Fe at (0.000, 0.500, 0.500), Rh at (0.500, 0.500, 0.000) and C at (0.500, 0.500, 0.500).

The value obtained for the density of states at the Fermi level is 3.3 states/eV per cell. The energy of formation comes out at -0.276 eV per atom. For the electronic total energy, the calculation gives -8.242 eV per atom.


Record 3
Ce2NiAu: optimized geometry, PBE.

The structure belongs to space group Fm-3m (No. 225); the cell edges are 7.150, 7.150 and 7.150 Å and the angles 90.00°, 90.00° and 90.00°. The asymmetric unit holds Ce at (0.250, 0.250, 0.250), Ni at (0.000, 0.000, 0.000) and Au at (0.000, 0.000, 0.500).

The value obtained for the density of states at the Fermi level is 46.9 states/eV per cell. The energy of formation comes out at -0.345 eV per atom. Its energy above the lowest structure with this stoichiometry is 0.075 eV/atom. For the electronic total energy, the calculation gives -5.577 eV per atom.


Record 4
Pm4NdDy: optimized geometry, PBE.

The structure belongs to space group C2/m (No. 12); the cell edges are 11.366, 5.927 and 6.083 Å and the angles 90.00°, 90.16° and 90.00°. The asymmetric unit holds Pm at (0.174, 0.000, 0.046), Pm at (0.175, 0.500, 0.455), Nd at (0.000, 0.500, 0.000) and Dy at (0.000, 0.000, 0.500).

The value obtained for the density of states at the Fermi level is 21.6 states/eV per cell. The energy of formation comes out at 0.107 eV per atom. Its energy above the lowest structure with this stoichiometry is 0.094 eV/atom. For the electronic total energy, the calculation gives -4.621 eV per atom.


- Look up the electronic total energy of the first one.
  -1.213 eV per atom